# 1
First-principles (GGA-PBE) data for a relaxed SrTaMn2 crystal, as listed in Alexandria via LeMat-Bulk.

```
SrTaMn2
1.0
-2.252 2.753 -1.702
-3.754 0.444 1.122
-0.142 5.389 4.331
Mn Ta Sr
2 1 1
Direct
0.029 0.029 0.914
0.689 0.689 0.933
0.298 0.298 0.106
0.484 0.484 0.548
```

Symmetry: R3m (160)
DFT formation energy in eV/atom: 0.502
VASP energy in eV/atom: -7.47
ΔE to the lowest computed polymorph in meV per atom: 129
Volume in Å³/f.u.: 87.93
Fermi-level density of states in states/eV per cell: 4.0


# 2
First-principles (GGA-PBE) data for a relaxed PmYHoAg crystal, as listed in Alexandria via LeMat-Bulk.

```
PmYHoAg
1.0
-1.149 3.502 -3.965
-3.811 -1.201 -3.651
-4.710 2.668 0.026
Y Pm Ag Ho
1 1 1 1
Direct
0.750 0.750 0.750
0.000 0.000 0.000
0.500 0.500 0.500
0.250 0.250 0.250
```

Symmetry: F-43m (216)
DFT formation energy in eV/atom: 0.099
VASP energy in eV/atom: -4.56
ΔE to the lowest computed polymorph in meV per atom: 234
Volume in Å³/f.u.: 112.15
Fermi-level density of states in states/eV per cell: 6.2


# 3
First-principles (GGA-PBE) data for a relaxed CsYGa3 crystal, as listed in Alexandria via LeMat-Bulk.

```
CsYGa3
1.0
5.613 0.000 0.000
0.000 5.613 0.000
0.000 0.000 5.613
Y Cs Ga
1 1 3
Direct
0.500 0.500 0.500
0.000 0.000 0.000
0.500 0.000 0.000
0.000 0.500 0.000
0.000 0.000 0.500
```

Symmetry: Pm-3m (221)
DFT formation energy in eV/atom: 1.139
VASP energy in eV/atom: -2.14
ΔE to the lowest computed polymorph in meV per atom: 844
Volume in Å³/f.u.: 176.85
Fermi-level density of states in states/eV per cell: 7.0


# 4
First-principles (GGA-PBE) data for a relaxed La2CeTm crystal, as listed in Alexandria via LeMat-Bulk.

```
La2CeTm
1.0
-2.323 -2.740 -0.061
0.185 -2.454 -2.617
6.579 -8.057 5.557
Tm La Ce
1 2 1
Direct
0.500 0.500 0.500
0.252 0.252 0.245
0.748 0.748 0.755
0.000 0.000 0.000
```

Symmetry: R-3m (166)
DFT formation energy in eV/atom: 0.059
VASP energy in eV/atom: -5.01
ΔE to the lowest computed polymorph in meV per atom: 0
Volume in Å³/f.u.: 129.74
Fermi-level density of states in states/eV per cell: 9.1


# 5
First-principles (GGA-PBE) data for a relaxed ZnCo4Re crystal, as listed in Alexandria via LeMat-Bulk.

```
ZnCo4Re
1.0
0.000 3.271 3.271
3.271 0.000 3.271
3.271 3.271 0.000
Co Zn Re
4 1 1
Direct
0.374 0.877 0.374
0.374 0.374 0.877
0.374 0.374 0.374
0.877 0.374 0.374
0.000 0.000 0.000
0.750 0.750 0.750
```

Symmetry: F-43m (216)
DFT formation energy in eV/atom: 0.182
VASP energy in eV/atom: -6.84
Volume in Å³/f.u.: 70.00
Fermi-level density of states in states/eV per cell: 8.2